The following is a DFT calculation (PBE-GGA) of an optimized crystal structure of DyAgCl4.

Output
ΔE_f (raw) in eV per atom: -1.648
Magnetization in μB/f.u.: 0.00

Cell: 6.7275 7.3206 8.9410 Å, 107.13 104.73 107.40°
With the nearest neighbours (Å) after each atom.
Space group P-1 (No. 2)
One atom of each set of equivalent atoms:
Dy (0.1791, 0.4289, 0.3582) x2  6 Cl 2.63-2.70
Ag (0.4361, 0.1887, 0.8754) x2  2 Cl 2.43
Cl (0.0408, 0.3262, 0.5917) x2  2 Dy 2.66-2.70
Cl (0.1778, 0.8843, 0.8870) x2  1 Ag 2.43, 1 Dy 2.63
Cl (0.2902, 0.4967, 0.1122) x2  1 Ag 2.43, 1 Dy 2.63
Cl (0.4497, 0.2350, 0.4096) x2  2 Dy 2.65-2.70